Entry 1:
First-principles (GGA-PBE) data for a relaxed structure of Sm, as listed in the Alexandria database.

Cell: 3.6451 3.6451 26.4279 Å, 90.00 90.00 120.00°
Last column: nearest neighbours and their distance in Å.
Positions (direct):
Sm  0.0000  0.0000  0.0000  12 Sm 3.60-3.65
Sm  0.0000  0.0000  0.2229  12 Sm 3.60-3.65
Sm  0.0000  0.0000  0.7771  12 Sm 3.60-3.65
Sm  0.3333  0.6667  0.4438  12 Sm 3.60-3.65
Sm  0.3333  0.6667  0.6667  12 Sm 3.60-3.65
Sm  0.3333  0.6667  0.8896  12 Sm 3.60-3.65
Sm  0.6667  0.3333  0.1104  12 Sm 3.60-3.65
Sm  0.6667  0.3333  0.3333  12 Sm 3.60-3.65
Sm  0.6667  0.3333  0.5562  12 Sm 3.60-3.65

***

Entry 2:
First-principles (GGA-PBE) data for a relaxed structure of SmSn3, as listed in the Alexandria database.

Cell: 4.8154 4.8154 4.6237 Å, 90.00 90.00 90.00°
Last column: nearest neighbours and their distance in Å.
Positions (direct):
Sm  0.0000  0.0000  0.0000  12 Sn 3.34-3.40
Sn  0.0000  0.5000  0.5000  8 Sn 3.34-3.40, 4 Sm 3.34
Sn  0.5000  0.0000  0.5000  8 Sn 3.34-3.40, 4 Sm 3.34
Sn  0.5000  0.5000  0.0000  8 Sn 3.34, 4 Sm 3.40

***

Entry 3:
First-principles (GGA-PBE) data for a relaxed structure of SmSn2, as listed in the Alexandria database.

Cell: 4.4632 4.5743 8.3321 Å, 90.00 105.62 90.00°
Last column: nearest neighbours and their distance in Å.
Positions (direct):
Sm  0.1450  0.0000  0.2900  10 Sn 3.22-3.56
Sm  0.8550  0.0000  0.7100  10 Sn 3.22-3.56
Sn  0.0000  0.5000  0.0000  4 Sn 3.20, 4 Sm 3.26
Sn  0.3154  0.5000  0.6307  2 Sn 3.06, 4 Sm 3.26
Sn  0.5000  0.0000  0.0000  4 Sn 3.20, 4 Sm 3.22-3.23
Sn  0.6846  0.5000  0.3693  2 Sn 3.06, 4 Sm 3.26

***

Entry 4:
First-principles (GGA-PBE) data for a relaxed structure of SmSn7, as listed in the Alexandria database.

Cell: 6.7523 6.7523 6.7523 Å, 60.00 60.00 60.00°
Last column: nearest neighbours and their distance in Å.
Positions (direct):
Sm  0.0000  0.0000  0.0000  12 Sn 3.38
Sn  0.0000  0.0000  0.5000  10 Sn 3.38, 2 Sm 3.38
Sn  0.0000  0.5000  0.0000  10 Sn 3.38, 2 Sm 3.38
Sn  0.0000  0.5000  0.5000  10 Sn 3.38, 2 Sm 3.38
Sn  0.5000  0.0000  0.0000  10 Sn 3.38, 2 Sm 3.38
Sn  0.5000  0.0000  0.5000  10 Sn 3.38, 2 Sm 3.38
Sn  0.5000  0.5000  0.0000  10 Sn 3.38, 2 Sm 3.38
Sn  0.5000  0.5000  0.5000  12 Sn 3.38

***

Values of E_form, in order: 4.7, -476.3, -626.8, -185.9, all in meV/atom.
Values of uncorrected energy, in order: -4.71, -4.66, -4.87, -4.28, all in eV per atom.